## Hf4FeRu2 (PBE)

Data for a relaxed Hf4FeRu2 crystal.

Computed properties:
- crystal system = tetragonal

The structure in CIF format:
```
data_Hf4FeRu2
_cell_length_a 6.368
_cell_length_b 6.368
_cell_length_c 6.400
_cell_angle_alpha 90.00
_cell_angle_beta 90.00
_cell_angle_gamma 90.00
_space_group_name_H-M_alt 'I 4/m m m'
_space_group_IT_number 139
_space_group_name_Hall '-I 4 2'
loop_
_atom_site_label
_atom_site_type_symbol
_atom_site_fract_x
_atom_site_fract_y
_atom_site_fract_z
Hf1 Hf 0.250 0.250 0.250
Fe1 Fe 0.000 0.000 0.000
Ru1 Ru 0.000 0.500 0.000
```

## HfFe3Ru (PBE)

Data for a relaxed HfFe3Ru crystal.

Computed properties:
- crystal system = cubic
- energy above the lowest structure with this stoichiometry (meV per atom) = 0.0

The structure in CIF format:
```
data_HfFe3Ru
_cell_length_a 4.456
_cell_length_b 4.456
_cell_length_c 4.456
_cell_angle_alpha 90.00
_cell_angle_beta 90.00
_cell_angle_gamma 90.00
_space_group_name_H-M_alt 'P m -3 m'
_space_group_IT_number 221
_space_group_name_Hall '-P 4 2 3'
loop_
_atom_site_label
_atom_site_type_symbol
_atom_site_fract_x
_atom_site_fract_y
_atom_site_fract_z
Hf1 Hf 0.000 0.000 0.000
Fe1 Fe 0.000 0.500 0.500
Ru1 Ru 0.500 0.500 0.500
```

## Hf2FeRu (PBE)

Data for a relaxed Hf2FeRu crystal.

Computed properties:
- crystal system = tetragonal

The structure in CIF format:
```
data_Hf2FeRu
_cell_length_a 3.200
_cell_length_b 3.200
_cell_length_c 6.368
_cell_angle_alpha 90.00
_cell_angle_beta 90.00
_cell_angle_gamma 90.00
_space_group_name_H-M_alt 'P 4/m m m'
_space_group_IT_number 123
_space_group_name_Hall '-P 4 2'
loop_
_atom_site_label
_atom_site_type_symbol
_atom_site_fract_x
_atom_site_fract_y
_atom_site_fract_z
Hf1 Hf 0.000 0.000 0.243
Fe1 Fe 0.500 0.500 0.000
Ru1 Ru 0.500 0.500 0.500
```

## Hf2FeRu (PBE)

Data for a relaxed Hf2FeRu crystal.

Computed properties:
- crystal system = orthorhombic

The structure in CIF format:
```
data_Hf2FeRu
_cell_length_a 2.923
_cell_length_b 4.922
_cell_length_c 10.141
_cell_angle_alpha 90.00
_cell_angle_beta 90.00
_cell_angle_gamma 90.00
_space_group_name_H-M_alt 'I m m m'
_space_group_IT_number 71
_space_group_name_Hall '-I 2 2'
loop_
_atom_site_label
_atom_site_type_symbol
_atom_site_fract_x
_atom_site_fract_y
_atom_site_fract_z
Hf1 Hf 0.000 0.000 0.247
Fe1 Fe 0.000 0.000 0.500
Ru1 Ru 0.000 0.000 0.000
```

## Hf6FeRu5 (PBE)

Data for a relaxed Hf6FeRu5 crystal.

Computed properties:
- crystal system = orthorhombic

The structure in CIF format:
```
data_Hf6FeRu5
_cell_length_a 4.576
_cell_length_b 6.446
_cell_length_c 13.702
_cell_angle_alpha 90.00
_cell_angle_beta 90.00
_cell_angle_gamma 90.00
_space_group_name_H-M_alt 'I m m m'
_space_group_IT_number 71
_space_group_name_Hall '-I 2 2'
loop_
_atom_site_label
_atom_site_type_symbol
_atom_site_fract_x
_atom_site_fract_y
_atom_site_fract_z
Hf1 Hf 0.000 0.247 0.000
Hf2 Hf 0.000 0.252 0.335
Fe1 Fe 0.000 0.500 0.500
Ru1 Ru 0.000 0.000 0.166
Ru2 Ru 0.000 0.000 0.500
Ru3 Ru 0.000 0.500 0.167
```

## Hf3FeRu (PBE)

Data for a relaxed Hf3FeRu crystal.

Computed properties:
- crystal system = cubic
- energy above the lowest structure with this stoichiometry (meV per atom) = 0.0

The structure in CIF format:
```
data_Hf3FeRu
_cell_length_a 4.664
_cell_length_b 4.664
_cell_length_c 4.664
_cell_angle_alpha 90.00
_cell_angle_beta 90.00
_cell_angle_gamma 90.00
_space_group_name_H-M_alt 'P m -3 m'
_space_group_IT_number 221
_space_group_name_Hall '-P 4 2 3'
loop_
_atom_site_label
_atom_site_type_symbol
_atom_site_fract_x
_atom_site_fract_y
_atom_site_fract_z
Hf1 Hf 0.000 0.000 0.500
Fe1 Fe 0.000 0.000 0.000
Ru1 Ru 0.500 0.500 0.500
```

Number 1: calculated formation energy -401 meV/atom, total magnetic moment 0.00 μB per atom. Number 2: calculated formation energy 1073 meV/atom, total magnetic moment 1.23 μB per atom. Number 3: calculated formation energy -562 meV/atom, total magnetic moment 0.06 μB per atom. Number 4: calculated formation energy 579 meV/atom, total magnetic moment 0.54 μB per atom. Number 5: calculated formation energy -726 meV/atom, total magnetic moment 0.00 μB per atom. Number 6: calculated formation energy 406 meV/atom, total magnetic moment 0.00 μB per atom.